[1]
Entry from the Alexandria database: a relaxed structure of TlRe2Pb2 (PBE).

Unit cell a=5.386 b=5.386 c=8.641 alpha=90.00 beta=90.00 gamma=90.00
Space group I4/mmm (No. 139)
One atom of each set of equivalent atoms:
1 Tl 0.000 0.000 0.000
2 Re 0.000 0.000 0.370
3 Pb 0.000 0.500 0.250

Values from the calculation:
Crystal system   tetragonal
Volume   125.3 Å³/f.u.
Formation energy   974.6 meV per atom
Size of the total moment   0.01 μB per formula unit
Mass density   13.13 g cm⁻³
Excess energy over the best structure of this formula in the dataset   59 meV/atom

---

[2]
Entry from the Alexandria database: a relaxed structure of PmThOs (PBE).

Unit cell a=3.457 b=3.457 c=13.777 alpha=90.00 beta=90.00 gamma=90.00
Space group I4mm (No. 107)
One atom of each set of equivalent atoms:
1 Pm 0.000 0.000 0.000
2 Th 0.000 0.000 0.257
3 Os 0.000 0.000 0.635

Values from the calculation:
Crystal system   tetragonal
Volume   82.3 Å³/f.u.
Formation energy   -64.2 meV per atom
Size of the total moment   0.00 μB per formula unit
Mass density   11.44 g cm⁻³
Excess energy over the best structure of this formula in the dataset   141 meV/atom

---

[3]
Entry from the Alexandria database: a relaxed structure of EuZnIr (PBE).

Unit cell a=3.386 b=3.386 c=10.540 alpha=90.00 beta=90.00 gamma=90.00
Space group I4mm (No. 107)
One atom of each set of equivalent atoms:
1 Eu 0.000 0.000 0.000
2 Zn 0.000 0.000 0.287
3 Ir 0.000 0.000 0.692

Values from the calculation:
Crystal system   tetragonal
Volume   60.4 Å³/f.u.
Formation energy   -208.6 meV per atom
Size of the total moment   7.16 μB per formula unit
Mass density   11.26 g cm⁻³

---

[4]
Entry from the Alexandria database: a relaxed structure of TiNb14W (PBE).

Unit cell a=6.594 b=9.350 c=9.337 alpha=90.00 beta=90.00 gamma=90.00
Space group Cmmm (No. 65)
One atom of each set of equivalent atoms:
1 Ti 0.000 0.000 0.000
2 Nb 0.000 0.000 0.500
3 Nb 0.000 0.247 0.246
4 Nb 0.000 0.500 0.500
5 Nb 0.245 0.500 0.245
6 Nb 0.250 0.250 0.000
7 Nb 0.250 0.250 0.500
8 W 0.000 0.500 0.000

Values from the calculation:
Crystal system   orthorhombic
Volume   287.9 Å³/f.u.
Formation energy   -11.1 meV per atom
Size of the total moment   0.00 μB per formula unit
Mass density   8.84 g cm⁻³

---

| no. | total energy (eV per cell) |
| --- | --- |
| 1 | -59.6 |
| 2 | -47.2 |
| 3 | -42.1 |
| 4 | -324.0 |